Arrangement w

First-principles (PBE) data for a geometry-optimized Ce2In2Ag3 structure, as listed in the Alexandria database. Values from VASP.

Geometry as Quantum ESPRESSO input:
```
&SYSTEM
  ibrav = 0, nat = 14, ntyp = 3
/
ATOMIC_SPECIES
Ce 140.12 Ce.upf
In 114.82 In.upf
Ag 107.87 Ag.upf
CELL_PARAMETERS angstrom
2.188 -10.291 0.000
2.188 10.291 0.000
0.000 0.000 7.842
ATOMIC_POSITIONS crystal
Ce 0.056 0.944 0.750
Ce 0.151 0.849 0.250
Ce 0.849 0.151 0.750
Ce 0.944 0.056 0.250
In 0.313 0.687 0.053
In 0.313 0.687 0.447
In 0.687 0.313 0.553
In 0.687 0.313 0.947
Ag 0.229 0.771 0.750
Ag 0.441 0.559 0.573
Ag 0.441 0.559 0.927
Ag 0.559 0.441 0.073
Ag 0.559 0.441 0.427
Ag 0.771 0.229 0.250
```

---

Arrangement x

First-principles (PBE) data for a geometry-optimized Ce2In2Ag3 structure, as listed in the Alexandria database. Values from VASP.

Geometry as Quantum ESPRESSO input:
```
&SYSTEM
  ibrav = 0, nat = 7, ntyp = 3
/
ATOMIC_SPECIES
Ce 140.12 Ce.upf
In 114.82 In.upf
Ag 107.87 Ag.upf
CELL_PARAMETERS angstrom
2.261 -11.842 0.000
2.261 11.842 0.000
0.000 0.000 3.111
ATOMIC_POSITIONS crystal
Ce 0.137 0.863 0.000
Ce 0.863 0.137 0.000
In 0.287 0.713 0.500
In 0.713 0.287 0.500
Ag 0.000 0.000 0.000
Ag 0.441 0.559 0.500
Ag 0.559 0.441 0.500
```

---

Computed relative energies in units of kJ/mol of atoms: arrangement w 0.0; arrangement x 4.5

---

Arrangement w

First-principles (PBE) data for a geometry-optimized LaCeInAg structure, as listed in the Alexandria database. Values from VASP.

Geometry as Quantum ESPRESSO input:
```
&SYSTEM
  ibrav = 0, nat = 4, ntyp = 4
/
ATOMIC_SPECIES
La 138.91 La.upf
Ce 140.12 Ce.upf
In 114.82 In.upf
Ag 107.87 Ag.upf
CELL_PARAMETERS angstrom
0.000 3.862 3.862
3.862 0.000 3.862
3.862 3.862 0.000
ATOMIC_POSITIONS crystal
La 0.000 0.000 0.000
Ce 0.500 0.500 0.500
In 0.250 0.250 0.250
Ag 0.750 0.750 0.750
```

---

Arrangement x

First-principles (PBE) data for a geometry-optimized LaCeInAg structure, as listed in the Alexandria database. Values from VASP.

Geometry as Quantum ESPRESSO input:
```
&SYSTEM
  ibrav = 0, nat = 4, ntyp = 4
/
ATOMIC_SPECIES
La 138.91 La.upf
Ce 140.12 Ce.upf
In 114.82 In.upf
Ag 107.87 Ag.upf
CELL_PARAMETERS angstrom
3.686 0.000 0.000
0.000 3.686 0.000
0.000 0.000 8.320
ATOMIC_POSITIONS crystal
La 0.000 0.000 0.000
Ce 0.000 0.000 0.521
In 0.500 0.500 0.266
Ag 0.500 0.500 0.752
```

---

Computed relative energies in units of kJ/mol of atoms: arrangement w 1.9; arrangement x 0.0

---

Arrangement w

First-principles (PBE) data for a geometry-optimized CePuInAg structure, as listed in the Alexandria database. Values from VASP.

Geometry as Quantum ESPRESSO input:
```
&SYSTEM
  ibrav = 0, nat = 4, ntyp = 4
/
ATOMIC_SPECIES
Ce 140.12 Ce.upf
Pu 244.00 Pu.upf
In 114.82 In.upf
Ag 107.87 Ag.upf
CELL_PARAMETERS angstrom
0.000 3.770 3.770
3.770 0.000 3.770
3.770 3.770 0.000
ATOMIC_POSITIONS crystal
Ce 0.000 0.000 0.000
Pu 0.500 0.500 0.500
In 0.750 0.750 0.750
Ag 0.250 0.250 0.250
```

---

Arrangement x

First-principles (PBE) data for a geometry-optimized CePuInAg structure, as listed in the Alexandria database. Values from VASP.

Geometry as Quantum ESPRESSO input:
```
&SYSTEM
  ibrav = 0, nat = 4, ntyp = 4
/
ATOMIC_SPECIES
Ce 140.12 Ce.upf
Pu 244.00 Pu.upf
In 114.82 In.upf
Ag 107.87 Ag.upf
CELL_PARAMETERS angstrom
4.424 0.000 0.000
0.000 4.510 0.000
0.000 0.000 4.884
ATOMIC_POSITIONS crystal
Ce 0.000 0.000 0.000
Pu 0.500 0.500 0.000
In 0.000 0.500 0.500
Ag 0.500 0.000 0.500
```

---

Computed relative energies in units of kJ/mol of atoms: arrangement w 8.8; arrangement x 0.0

---

Arrangement w

First-principles (PBE) data for a geometry-optimized La2CeAg structure, as listed in the Alexandria database. Values from VASP.

Geometry as Quantum ESPRESSO input:
```
&SYSTEM
  ibrav = 0, nat = 4, ntyp = 3
/
ATOMIC_SPECIES
La 138.91 La.upf
Ce 140.12 Ce.upf
Ag 107.87 Ag.upf
CELL_PARAMETERS angstrom
3.716 0.000 0.000
0.000 3.716 0.000
0.000 0.000 8.576
ATOMIC_POSITIONS crystal
La 0.000 0.000 0.232
La 0.000 0.000 0.768
Ce 0.500 0.500 0.500
Ag 0.500 0.500 0.000
```

---

Arrangement x

First-principles (PBE) data for a geometry-optimized La2CeAg structure, as listed in the Alexandria database. Values from VASP.

Geometry as Quantum ESPRESSO input:
```
&SYSTEM
  ibrav = 0, nat = 4, ntyp = 3
/
ATOMIC_SPECIES
La 138.91 La.upf
Ce 140.12 Ce.upf
Ag 107.87 Ag.upf
CELL_PARAMETERS angstrom
1.686 0.973 11.696
-1.686 0.973 11.696
0.000 -1.946 11.696
ATOMIC_POSITIONS crystal
La 0.091 0.091 0.091
La 0.909 0.909 0.909
Ce 0.000 0.000 0.000
Ag 0.500 0.500 0.500
```

---

Arrangement y

First-principles (PBE) data for a geometry-optimized La2CeAg structure, as listed in the Alexandria database. Values from VASP.

Geometry as Quantum ESPRESSO input:
```
&SYSTEM
  ibrav = 0, nat = 4, ntyp = 3
/
ATOMIC_SPECIES
La 138.91 La.upf
Ce 140.12 Ce.upf
Ag 107.87 Ag.upf
CELL_PARAMETERS angstrom
0.000 3.850 3.850
3.850 0.000 3.850
3.850 3.850 0.000
ATOMIC_POSITIONS crystal
La 0.250 0.250 0.250
La 0.750 0.750 0.750
Ce 0.000 0.000 0.000
Ag 0.500 0.500 0.500
```

---

Computed relative energies in units of kJ/mol of atoms: arrangement w 0.0; arrangement x 24.7; arrangement y 17.5

---

Arrangement w

First-principles (PBE) data for a geometry-optimized LaCe2Ag structure, as listed in the Alexandria database. Values from VASP.

Geometry as Quantum ESPRESSO input:
```
&SYSTEM
  ibrav = 0, nat = 4, ntyp = 3
/
ATOMIC_SPECIES
La 138.91 La.upf
Ce 140.12 Ce.upf
Ag 107.87 Ag.upf
CELL_PARAMETERS angstrom
0.000 3.773 3.773
3.773 0.000 3.773
3.773 3.773 0.000
ATOMIC_POSITIONS crystal
La 0.000 0.000 0.000
Ce 0.250 0.250 0.250
Ce 0.750 0.750 0.750
Ag 0.500 0.500 0.500
```

---

Arrangement x

First-principles (PBE) data for a geometry-optimized LaCe2Ag structure, as listed in the Alexandria database. Values from VASP.

Geometry as Quantum ESPRESSO input:
```
&SYSTEM
  ibrav = 0, nat = 4, ntyp = 3
/
ATOMIC_SPECIES
La 138.91 La.upf
Ce 140.12 Ce.upf
Ag 107.87 Ag.upf
CELL_PARAMETERS angstrom
3.621 0.000 0.000
0.000 3.621 0.000
0.000 0.000 8.723
ATOMIC_POSITIONS crystal
La 0.000 0.000 0.000
Ce 0.500 0.500 0.279
Ce 0.500 0.500 0.721
Ag 0.000 0.000 0.500
```

---

Computed relative energies in units of kJ/mol of atoms: arrangement w 8.2; arrangement x 0.0

---

Arrangement w

First-principles (PBE) data for a geometry-optimized LaCeZnAg structure, as listed in the Alexandria database. Values from VASP.

Geometry as Quantum ESPRESSO input:
```
&SYSTEM
  ibrav = 0, nat = 4, ntyp = 4
/
ATOMIC_SPECIES
La 138.91 La.upf
Ce 140.12 Ce.upf
Zn 65.41 Zn.upf
Ag 107.87 Ag.upf
CELL_PARAMETERS angstrom
3.801 0.000 0.000
0.000 3.801 0.000
0.000 0.000 7.183
ATOMIC_POSITIONS crystal
La 0.000 0.000 0.000
Ce 0.000 0.000 0.526
Zn 0.500 0.500 0.749
Ag 0.500 0.500 0.278
```

---

Arrangement x

First-principles (PBE) data for a geometry-optimized LaCeZnAg structure, as listed in the Alexandria database. Values from VASP.

Geometry as Quantum ESPRESSO input:
```
&SYSTEM
  ibrav = 0, nat = 4, ntyp = 4
/
ATOMIC_SPECIES
La 138.91 La.upf
Ce 140.12 Ce.upf
Zn 65.41 Zn.upf
Ag 107.87 Ag.upf
CELL_PARAMETERS angstrom
0.000 3.747 3.747
3.747 0.000 3.747
3.747 3.747 0.000
ATOMIC_POSITIONS crystal
La 0.000 0.000 0.000
Ce 0.500 0.500 0.500
Zn 0.250 0.250 0.250
Ag 0.750 0.750 0.750
```

---

Computed relative energies in units of kJ/mol of atoms: arrangement w 0.0; arrangement x 2.7

---

Arrangement w

First-principles (PBE) data for a geometry-optimized LiCeAg2 structure, as listed in the Alexandria database. Values from VASP.

Geometry as Quantum ESPRESSO input:
```
&SYSTEM
  ibrav = 0, nat = 4, ntyp = 3
/
ATOMIC_SPECIES
Li 6.94 Li.upf
Ce 140.12 Ce.upf
Ag 107.87 Ag.upf
CELL_PARAMETERS angstrom
0.000 3.570 3.570
3.570 0.000 3.570
3.570 3.570 0.000
ATOMIC_POSITIONS crystal
Li 0.000 0.000 0.000
Ce 0.500 0.500 0.500
Ag 0.250 0.250 0.250
Ag 0.750 0.750 0.750
```

---

Arrangement x

First-principles (PBE) data for a geometry-optimized LiCeAg2 structure, as listed in the Alexandria database. Values from VASP.

Geometry as Quantum ESPRESSO input:
```
&SYSTEM
  ibrav = 0, nat = 4, ntyp = 3
/
ATOMIC_SPECIES
Li 6.94 Li.upf
Ce 140.12 Ce.upf
Ag 107.87 Ag.upf
CELL_PARAMETERS angstrom
2.325 1.342 4.853
-2.325 1.342 4.853
0.000 -2.684 4.853
ATOMIC_POSITIONS crystal
Li 0.000 0.000 0.000
Ce 0.500 0.500 0.500
Ag 0.285 0.285 0.285
Ag 0.715 0.715 0.715
```

---

Computed relative energies in units of kJ/mol of atoms: arrangement w 3.8; arrangement x 0.0